Computed, not measured: a relaxed PbW2O7 crystal at the PBE+U level of DFT.

Unit cell a=3.9342 b=3.8658 c=10.2600 alpha=90.00 beta=100.60 gamma=90.00
Space group P2/m (No. 10)
Asymmetric unit:
Pb 0.0000 0.0000 0.0000 (multiplicity 1)
W 0.4571 0.5000 0.3086 (multiplicity 2)
O 0.0754 0.5000 0.6903 (multiplicity 2)
O 0.3189 0.5000 0.1196 (multiplicity 2)
O 0.4191 0.0000 0.3060 (multiplicity 2)
O 0.5000 0.5000 0.5000 (multiplicity 1)

**Spin magnetization**: 0.00 μB per cell
**Crystal system**: monoclinic
**Calculated total energy**: -7.079 eV per atom